## CaEr2Ni (PBE-GGA)

Data for a geometry-optimized CaEr2Ni structure.

Structure (extended XYZ):
```
4
Lattice="-0.154 2.538 -2.278 -3.401 0.054 0.291 0.687 6.202 6.865" Properties=species:S:1:pos:R:3 pbc="T T T"
Ni -1.778 1.296 -0.993
Ca -1.434 4.397 2.439
Er 0.569 5.139 5.688
Er 0.118 1.063 1.177
```

Total magnetic moment (μB/f.u.): 0.0
Energy above the lowest structure with this stoichiometry (meV per atom): 0
Energy relative to the elements (meV per atom): -162